Entry 1:
First-principles (PBE) data for an optimized crystal structure of Pa2ZnNi9, as listed in Alexandria via LeMat-Bulk.

Geometry as extended XYZ:
```
12
Lattice="3.838 0.000 0.000 0.000 3.838 0.000 0.000 0.000 10.956" Properties=species:S:1:pos:R:3 pbc="T T T"
Pa 0.000 0.000 2.004
Pa 0.000 0.000 8.952
Zn 0.000 0.000 5.478
Ni 0.000 1.919 0.000
Ni 0.000 1.919 3.789
Ni 0.000 1.919 7.167
Ni 1.919 0.000 0.000
Ni 1.919 0.000 3.789
Ni 1.919 0.000 7.167
Ni 1.919 1.919 1.872
Ni 1.919 1.919 5.478
Ni 1.919 1.919 9.083
```

Summary:
Magnetic moment = 0.0 μB/f.u.
Symmetry = P4/mmm
DFT formation energy = -0.336 eV/atom
Crystal system = tetragonal
D(E_F) = 1.48 states/eV/cell
Distance to the lowest polymorph of the same formula = 0.0000 eV/atom
Energy = -6.361 eV/atom



Entry 2:
First-principles (PBE) data for an optimized crystal structure of Ac6NiRh2, as listed in Alexandria via LeMat-Bulk.

Geometry as extended XYZ:
```
9
Lattice="6.936 -2.875 0.000 6.936 2.875 0.000 -4.119 0.000 8.430" Properties=species:S:1:pos:R:3 pbc="T T T"
Ac -0.710 0.000 1.867
Ac 0.541 0.000 7.623
Ac 3.153 0.000 3.610
Ac 6.600 0.000 4.820
Ac 9.212 0.000 0.807
Ac 10.463 0.000 6.563
Ni -2.060 0.000 4.215
Rh 2.082 0.000 0.838
Rh 7.671 0.000 7.592
```

Summary:
Magnetic moment = 0.0 μB/f.u.
Symmetry = C2/m
DFT formation energy = -0.321 eV/atom
Crystal system = monoclinic
D(E_F) = 7.83 states/eV/cell
Distance to the lowest polymorph of the same formula = 0.1029 eV/atom
Energy = -5.336 eV/atom



Entry 3:
First-principles (PBE) data for an optimized crystal structure of Ca3AgCl, as listed in Alexandria via LeMat-Bulk.

Geometry as extended XYZ:
```
5
Lattice="5.368 0.000 0.000 0.000 5.368 0.000 0.000 0.000 5.368" Properties=species:S:1:pos:R:3 pbc="T T T"
Ca 0.000 0.000 2.684
Ca 0.000 2.684 0.000
Ca 2.684 0.000 0.000
Ag 2.684 2.684 2.684
Cl 0.000 0.000 0.000
```

Summary:
Magnetic moment = 0.6 μB/f.u.
Symmetry = Pm-3m
Crystal system = cubic
D(E_F) = 8.63 states/eV/cell
Distance to the lowest polymorph of the same formula = 0.0000 eV/atom
Energy = -2.592 eV/atom



Entry 4:
First-principles (PBE) data for an optimized crystal structure of CuPd2Pt4, as listed in Alexandria via LeMat-Bulk.

Geometry as extended XYZ:
```
7
Lattice="-2.302 2.302 6.321 2.302 -2.302 6.321 2.302 2.302 -6.321" Properties=species:S:1:pos:R:3 pbc="T T T"
Cu 0.000 0.000 0.000
Pd 0.000 0.000 4.926
Pd 0.000 0.000 7.716
Pt 2.302 0.000 0.000
Pt 0.000 0.000 2.397
Pt 0.000 2.302 0.000
Pt 0.000 0.000 10.245
```

Summary:
Magnetic moment = 0.0 μB/f.u.
Symmetry = I4/mmm
DFT formation energy = 0.879 eV/atom
Crystal system = tetragonal
D(E_F) = 11.78 states/eV/cell
Distance to the lowest polymorph of the same formula = 0.9386 eV/atom
Energy = -4.642 eV/atom



Entry 5:
First-principles (PBE) data for an optimized crystal structure of MgTlNi2, as listed in Alexandria via LeMat-Bulk.

Geometry as extended XYZ:
```
4
Lattice="3.247 0.000 0.000 0.000 3.247 0.000 0.000 0.000 5.897" Properties=species:S:1:pos:R:3 pbc="T T T"
Mg 0.000 0.000 0.000
Tl 0.000 0.000 2.948
Ni 1.624 1.624 1.413
Ni 1.624 1.624 4.484
```

Summary:
Magnetic moment = 0.0 μB/f.u.
Symmetry = P4/mmm
DFT formation energy = 0.069 eV/atom
Crystal system = tetragonal
D(E_F) = 2.41 states/eV/cell
Energy = -3.812 eV/atom



Entry 6:
First-principles (PBE) data for an optimized crystal structure of DyEr2Os, as listed in Alexandria via LeMat-Bulk.

Geometry as extended XYZ:
```
8
Lattice="1.983 -5.899 0.000 1.983 5.899 0.000 0.000 0.000 8.924" Properties=species:S:1:pos:R:3 pbc="T T T"
Dy 1.983 5.024 6.693
Dy 1.983 -5.024 2.231
Er 1.983 1.715 5.047
Er 1.983 1.715 8.339
Er 1.983 -1.715 0.585
Er 1.983 -1.715 3.877
Os 1.983 2.858 2.231
Os 1.983 -2.858 6.693
```

Summary:
Magnetic moment = 0.0 μB/f.u.
Symmetry = Cmcm
DFT formation energy = -0.264 eV/atom
Crystal system = orthorhombic
D(E_F) = 6.75 states/eV/cell
Distance to the lowest polymorph of the same formula = 0.0191 eV/atom
Energy = -6.504 eV/atom



Entry 7:
First-principles (PBE) data for an optimized crystal structure of Tm4SnHg5, as listed in Alexandria via LeMat-Bulk.

Geometry as extended XYZ:
```
10
Lattice="3.754 0.000 0.000 0.000 3.754 0.000 0.000 0.000 17.554" Properties=species:S:1:pos:R:3 pbc="T T T"
Tm 0.000 0.000 1.789
Tm 0.000 0.000 5.388
Tm 0.000 0.000 12.166
Tm 0.000 0.000 15.764
Sn 0.000 0.000 8.777
Hg 1.877 1.877 0.000
Hg 1.877 1.877 3.503
Hg 1.877 1.877 7.025
Hg 1.877 1.877 10.528
Hg 1.877 1.877 14.051
```

Summary:
Magnetic moment = 0.0 μB/f.u.
Symmetry = P4/mmm
DFT formation energy = -0.391 eV/atom
Crystal system = tetragonal
D(E_F) = 5.85 states/eV/cell
Energy = -2.730 eV/atom



Entry 8:
First-principles (PBE) data for an optimized crystal structure of CePmDy6, as listed in Alexandria via LeMat-Bulk.

Geometry as extended XYZ:
```
8
Lattice="6.734 -3.256 0.000 6.734 3.256 0.000 -3.090 0.000 5.808" Properties=species:S:1:pos:R:3 pbc="T T T"
Ce 0.000 0.000 0.000
Pm 6.734 0.000 0.000
Dy 0.298 0.000 5.299
Dy 5.189 1.635 2.904
Dy 2.143 0.000 2.555
Dy 8.235 0.000 3.253
Dy 5.189 -1.635 2.904
Dy 10.081 0.000 0.508
```

Summary:
Magnetic moment = 1.4 μB/f.u.
Symmetry = C2/m
DFT formation energy = 0.214 eV/atom
Crystal system = monoclinic
D(E_F) = 16.12 states/eV/cell
Distance to the lowest polymorph of the same formula = 0.1715 eV/atom
Energy = -4.573 eV/atom